[1]
DFT (PBE) results for a geometry-optimized CaPm2Ga4Pt3 structure.

The space group is P-4m2 (No. 115) and the conventional cell measures 4.279, 4.279 and 11.423 Å, with angles of 90.00, 90.00 and 90.00 degrees. The distinct sites, in fractional coordinates, are Ca at (0.000, 0.000, 0.000), Pm at (0.000, 0.500, 0.723), Ga at (0.000, 0.000, 0.500), Ga at (0.000, 0.500, 0.163), Ga at (0.500, 0.500, 0.500), Pt at (0.000, 0.500, 0.377) and Pt at (0.500, 0.500, 0.000).

Its energy relative to the elements is -827 meV/atom. As for the crystal system: tetragonal.

[2]
DFT (PBE) results for a geometry-optimized Al2Cu7Au3 structure.

The space group is P2/m (No. 10) and the conventional cell measures 4.322, 2.802 and 14.235 Å, with angles of 90.00, 92.62 and 90.00 degrees. The distinct sites, in fractional coordinates, are Al at (0.218, 0.000, 0.290), Cu at (0.196, 0.500, 0.150), Cu at (0.244, 0.000, 0.460), Cu at (0.305, 0.000, 0.827), Cu at (0.500, 0.500, 0.000), Au at (0.000, 0.000, 0.000) and Au at (0.270, 0.500, 0.632).

Its energy relative to the elements is -54 meV/atom. As for the crystal system: monoclinic.

[3]
DFT (PBE) results for a geometry-optimized Ba2CaSmS4 structure.

The space group is P2/m (No. 10) and the conventional cell measures 7.331, 4.232 and 7.525 Å, with angles of 90.00, 108.97 and 90.00 degrees. The distinct sites, in fractional coordinates, are Ba at (0.000, 0.000, 0.000), Ba at (0.500, 0.500, 0.000), Ca at (0.000, 0.500, 0.500), Sm at (0.500, 0.000, 0.500), S at (0.242, 0.000, 0.717) and S at (0.264, 0.500, 0.284).

The total energy comes out at -5.4289 eV/atom. As for the crystal system: monoclinic.